1.
Dy2ErFe6Ni3 after structural relaxation. Source: OQMD, functional PBE.

a = 8.7316 Å, b = 8.7316 Å, c = 8.7316 Å
α = 33.09°, β = 33.09°, γ = 33.09°
Last column: nearest neighbours and their distance in Å.
Fractional coordinates of all 12 atoms:
Er 0.0000 0.0000 0.0000  6 Ni 2.87, 12 Fe 3.20
Fe 0.5821 0.0802 0.5821  3 Ni 2.47-2.55, 4 Fe 2.48-2.50
Fe 0.5821 0.5821 0.0802  3 Ni 2.47-2.55, 4 Fe 2.48-2.50
Dy 0.1415 0.1415 0.1415  9 Fe 2.90-3.08, 3 Ni 2.94, 3 Dy 3.13
Fe 0.4179 0.9198 0.4179  3 Ni 2.47-2.55, 4 Fe 2.48-2.50
Dy 0.8585 0.8585 0.8585  9 Fe 2.90-3.08, 3 Ni 2.94, 3 Dy 3.13
Ni 0.6667 0.6667 0.6667  6 Fe 2.47-2.48
Fe 0.4179 0.4179 0.9198  3 Ni 2.47-2.55, 4 Fe 2.48-2.50
Ni 0.3333 0.3333 0.3333  6 Fe 2.47-2.48
Fe 0.0802 0.5821 0.5821  3 Ni 2.47-2.55, 4 Fe 2.48-2.50
Fe 0.9198 0.4179 0.4179  3 Ni 2.47-2.55, 4 Fe 2.48-2.50
Ni 0.5000 0.5000 0.5000  6 Fe 2.55

Values from the calculation:
The value obtained for the calculated formation energy is -0.16 eV per atom. As for the space-group type: R-3m (166). Its final energy is -82.20 eV/cell.

=====

2.
DyEr2Fe6Ni3 after structural relaxation. Source: OQMD, functional PBE.

a = 8.7145 Å, b = 8.7145 Å, c = 8.7145 Å
α = 33.15°, β = 33.15°, γ = 33.15°
Last column: nearest neighbours and their distance in Å.
Fractional coordinates of all 12 atoms:
Fe 0.0798 0.5833 0.5833  4 Fe 2.47-2.50, 3 Ni 2.48-2.54
Ni 0.3332 0.3332 0.3332  6 Fe 2.48-2.49
Fe 0.9202 0.4167 0.4167  4 Fe 2.47-2.50, 3 Ni 2.48-2.54
Fe 0.4167 0.4167 0.9202  4 Fe 2.47-2.50, 3 Ni 2.48-2.54
Fe 0.5833 0.5833 0.0798  4 Fe 2.47-2.50, 3 Ni 2.48-2.54
Ni 0.5000 0.5000 0.5000  6 Fe 2.54
Fe 0.4167 0.9202 0.4167  4 Fe 2.47-2.50, 3 Ni 2.48-2.54
Ni 0.6668 0.6668 0.6668  6 Fe 2.48-2.49
Dy 0.0000 0.0000 0.0000  6 Ni 2.87, 12 Fe 3.21
Er 0.1418 0.1418 0.1418  9 Fe 2.89-3.05, 3 Ni 2.94, 3 Er 3.12
Fe 0.5833 0.0798 0.5833  4 Fe 2.47-2.50, 3 Ni 2.48-2.54
Er 0.8582 0.8582 0.8582  9 Fe 2.89-3.05, 3 Ni 2.94, 3 Er 3.12

Values from the calculation:
The value obtained for the calculated formation energy is -0.17 eV per atom. As for the space-group type: R-3m (166). Its final energy is -82.37 eV/cell.

=====

3.
Dy2ErFe8Ni after structural relaxation. Source: OQMD, functional PBE.

a = 8.6243 Å, b = 8.6243 Å, c = 8.6243 Å
α = 34.00°, β = 34.00°, γ = 34.00°
Last column: nearest neighbours and their distance in Å.
Fractional coordinates of all 12 atoms:
Fe 0.3331 0.3331 0.3331  6 Fe 2.44-2.46
Fe 0.0797 0.5817 0.5817  6 Fe 2.44-2.53, 1 Ni 2.55
Ni 0.5000 0.5000 0.5000  6 Fe 2.55
Dy 0.1418 0.1418 0.1418  9 Fe 2.92-3.06, 3 Ni 2.97, 3 Dy 3.15
Fe 0.5817 0.5817 0.0797  6 Fe 2.44-2.53, 1 Ni 2.55
Er 0.0000 0.0000 0.0000  18 Fe 2.91-3.20
Dy 0.8582 0.8582 0.8582  9 Fe 2.92-3.06, 3 Ni 2.97, 3 Dy 3.15
Fe 0.4183 0.9203 0.4183  6 Fe 2.44-2.53, 1 Ni 2.55
Fe 0.4183 0.4183 0.9203  6 Fe 2.44-2.53, 1 Ni 2.55
Fe 0.6669 0.6669 0.6669  6 Fe 2.44-2.46
Fe 0.5817 0.0797 0.5817  6 Fe 2.44-2.53, 1 Ni 2.55
Fe 0.9203 0.4183 0.4183  6 Fe 2.44-2.53, 1 Ni 2.55

Values from the calculation:
The value obtained for the calculated formation energy is -0.12 eV per atom. As for the space-group type: R-3m (166). Its final energy is -87.18 eV/cell.